{"formula": "TlP2Br", "functional": "PBE-GGA", "state": "relaxed", "lattice_angstrom": [[4.6290, -0.0002, -0.0009], [0.0315, 4.6528, -0.0001], [0.0743, 0.0471, 6.1655]], "species": ["Tl", "P", "P", "Br"], "fractional_positions": [[0.3730, 0.3041, 0.9301], [0.9895, 0.9306, 0.4349], [0.2836, 0.2282, 0.4308], [0.8728, 0.8041, 0.9379]], "final_energy_ev_per_cell": -14.85}



{"formula": "CeYTcOs", "functional": "PBE-GGA", "state": "relaxed", "lattice_angstrom": [[4.8590, 0.0000, 0.0000], [2.4295, 4.2080, 0.0000], [2.4295, 1.4027, 3.9674]], "species": ["Y", "Os", "Tc", "Ce"], "fractional_positions": [[0.2500, 0.2500, 0.2500], [0.5000, 0.5000, 0.5000], [0.0000, 0.0000, 0.0000], [0.7500, 0.7500, 0.7500]], "e_form_ev_per_fu": -0.155}



{"formula": "BaLiCrN2", "functional": "PBE-GGA", "state": "relaxed", "lattice_angstrom": [[4.8909, 0.0000, 0.0000], [-2.4455, 5.7660, 0.0000], [0.0000, 0.0000, 5.1285]], "species": ["Ba", "Ba", "Li", "Li", "Cr", "Cr", "N", "N", "N", "N"], "fractional_positions": [[0.7500, 0.5000, 0.7504], [0.2500, 0.5000, 0.2496], [0.0000, 0.0000, 0.5000], [0.5000, 0.0000, 0.5000], [0.7500, 0.0000, 0.0000], [0.2500, 0.0000, 0.0000], [0.9059, 0.8117, 0.1900], [0.5941, 0.1883, 0.1900], [0.4059, 0.8117, 0.8100], [0.0941, 0.1883, 0.8100]], "final_energy_ev_per_cell": -65.72}



{"formula": "ScGaTcN2", "functional": "PBE-GGA", "state": "relaxed", "lattice_angstrom": [[3.8469, 0.0000, 0.0000], [0.0000, 5.2855, 0.0000], [0.0000, 0.0000, 3.8469]], "species": ["Sc", "Tc", "Ga", "N", "N"], "fractional_positions": [[0.0000, 0.5000, 0.0000], [0.5000, 0.5000, 0.5000], [0.0000, 0.0000, 0.0000], [0.0000, 0.0000, 0.5000], [0.5000, 0.0000, 0.0000]], "final_energy_ev_per_cell": -28.15}



{"formula": "La2VZnN", "functional": "PBE-GGA", "state": "relaxed", "lattice_angstrom": [[-0.0738, 1.0128, -5.1988], [-2.5296, -4.5747, -0.8553], [-3.4075, 1.8093, 0.4009]], "species": ["N", "Zn", "V", "La", "La"], "fractional_positions": [[0.0000, 0.0000, 0.0000], [0.5000, 0.5000, 0.5000], [0.0000, 0.0000, 0.5000], [0.0000, 0.5000, 0.0000], [0.5000, 0.0000, 0.0000]], "final_energy_ev_per_cell": -31.69}



{"formula": "TbCeZnIr", "functional": "PBE-GGA", "state": "relaxed", "lattice_angstrom": [[4.9914, 0.0000, 0.0000], [2.4957, 4.3227, 0.0000], [2.4957, 1.4409, 4.0755]], "species": ["Zn", "Ir", "Tb", "Ce"], "fractional_positions": [[0.0000, 0.0000, 0.0000], [0.5000, 0.5000, 0.5000], [0.7500, 0.7500, 0.7500], [0.2500, 0.2500, 0.2500]], "e_form_ev_per_fu": -2.039}



{"formula": "KSbW2", "functional": "PBE-GGA", "state": "relaxed", "lattice_angstrom": [[3.2954, 0.0000, 0.0000], [0.0000, 3.2954, 0.0000], [0.0000, 0.0000, 8.8467]], "species": ["K", "Sb", "W", "W"], "fractional_positions": [[0.0000, 0.0000, 0.4930], [0.5000, 0.5000, 0.8165], [0.0000, 0.0000, 0.0244], [0.5000, 0.5000, 0.1662]], "final_energy_ev_per_cell": -28.85}



{"formula": "Zr2NbSb", "functional": "PBE-GGA", "state": "relaxed", "lattice_angstrom": [[3.8874, 0.0000, 0.0000], [0.0000, 4.6489, 0.0000], [0.0000, 0.0000, 4.6489]], "species": ["Sb", "Nb", "Zr", "Zr"], "fractional_positions": [[0.5000, 0.0000, 0.0000], [0.5000, 0.5000, 0.5000], [0.0000, 0.0000, 0.5000], [0.0000, 0.5000, 0.0000]], "final_energy_ev_per_cell": -32.76}



Total magnetization, respectively: 0.0 0.0 0.0 1.2 1.9 0.7 0.5 0.0 μB/f.u..